Record 1
Material: Ta2BMoSe
Method: DFT, PBE
State: relaxed

Lattice parameters (Å, degrees): 4.444 4.141 4.444 90.00 90.00 90.00
Positions (direct):
Mo1 0.000 0.500 0.000
B1 0.000 0.000 0.000
Se1 0.500 0.500 0.500
Ta1 0.000 0.000 0.500
Ta2 0.500 0.000 0.000

Results
- magnetic moment (μB/f.u.) = 0.0
- space group = No. 123
- VASP energy (eV per atom) = -8.5583
- N(E_F) (states/eV/f.u.) = 5.41

---

Record 2
Material: Er6GaTe3As2
Method: DFT, PBE
State: relaxed

Lattice parameters (Å, degrees): 4.148 8.582 9.495 104.21 102.62 90.00
Positions (direct):
Er1 0.342 0.902 0.683
Er2 0.674 0.566 0.348
Er3 0.658 0.098 0.317
Er4 0.005 0.233 0.010
Er5 0.995 0.767 0.990
Er6 0.326 0.434 0.652
Ga1 0.500 0.000 0.000
Te1 0.500 0.500 0.000
Te2 0.831 0.168 0.662
Te3 0.169 0.832 0.338
As1 0.833 0.665 0.666
As2 0.167 0.335 0.334

Results
- magnetic moment (μB/f.u.) = 0.0
- space group = No. 12
- VASP energy (eV per atom) = -5.3771
- N(E_F) (states/eV/f.u.) = 3.15

---

Record 3
Material: CsLiSnTe3
Method: DFT, PBE
State: relaxed

Lattice parameters (Å, degrees): 7.695 7.814 8.663 116.81 90.00 90.00
Positions (direct):
Cs1 0.750 0.261 0.523
Cs2 0.250 0.739 0.477
Li1 0.250 0.418 0.835
Li2 0.750 0.582 0.165
Sn1 0.250 0.060 0.121
Sn2 0.750 0.940 0.879
Te1 0.250 0.238 0.475
Te2 0.000 0.268 0.000
Te3 0.500 0.732 0.000
Te4 0.500 0.268 0.000
Te5 0.000 0.732 0.000
Te6 0.750 0.762 0.525

Results
- magnetic moment (μB/f.u.) = 0.0
- space group = No. 63
- VASP energy (eV per atom) = -3.2794
- N(E_F) (states/eV/f.u.) = 2.97